(1)
## Pr3Nd4Ni2 (PBE-GGA)

Data for an optimized crystal structure of Pr3Nd4Ni2.

Summary:
ΔH_f (0 K)   -0.08 eV/atom

abc: 16.7036 3.7640 9.5151
angles: 90.00 114.87 90.00
With the nearest neighbours (Å) after each atom.
Space group C2/m (No. 12)
Symmetry-distinct sites (fractional):
Pr 0.0000 0.0000 0.0000 [2 per cell]  4 Nd 3.45, 2 Pr 3.76
Pr 0.1413 0.5000 0.3843 [4 per cell]  3 Ni 2.81-3.15
Nd 0.0915 0.0000 0.6849 [4 per cell]  2 Ni 3.02
Nd 0.1835 0.5000 0.0542 [4 per cell]  2 Ni 2.81
Ni 0.2376 0.5000 0.7078 [4 per cell]  3 Pr 2.81-3.15, 4 Nd 2.81-3.02

(2)
## PrNdNi4 (PBE-GGA)

Data for an optimized crystal structure of PrNdNi4.

Summary:
ΔH_f (0 K)   -0.30 eV/atom
Relative energy among the computed polymorphs   0.0000 eV/atom

abc: 3.9595 4.0589 7.0090
angles: 90.00 90.00 90.00
With the nearest neighbours (Å) after each atom.
Space group Pmmm (No. 47)
Symmetry-distinct sites (fractional):
Pr 0.0000 0.0000 0.0000 [1 per cell]  12 Ni 3.07
Nd 0.0000 0.5000 0.5000 [1 per cell]  12 Ni 3.06-3.07
Ni 0.5000 0.0000 0.3338 [2 per cell]  3 Ni 2.33-2.34
Ni 0.5000 0.5000 0.1679 [2 per cell]  3 Ni 2.34-2.35

(3)
## PrNdNi4 (PBE-GGA)

Data for an optimized crystal structure of PrNdNi4.

Summary:
ΔH_f (0 K)   -0.29 eV/atom
Relative energy among the computed polymorphs   0.0057 eV/atom

abc: 7.3373 7.3373 7.3373
angles: 90.00 90.00 90.00
With the nearest neighbours (Å) after each atom.
Space group F-43m (No. 216)
Symmetry-distinct sites (fractional):
Pr 0.0000 0.0000 0.0000 [4 per cell]  12 Ni 3.04, 4 Nd 3.18
Nd 0.2500 0.2500 0.7500 [4 per cell]  12 Ni 3.04, 4 Pr 3.18
Ni 0.1248 0.1248 0.3752 [16 per cell]  6 Ni 2.59-2.60

(4)
## Pr3NdNi (PBE-GGA)

Data for an optimized crystal structure of Pr3NdNi.

Summary:
ΔH_f (0 K)   0.04 eV/atom
Relative energy among the computed polymorphs   0.1481 eV/atom

abc: 5.5410 5.5410 5.5410
angles: 90.00 90.00 90.00
With the nearest neighbours (Å) after each atom.
Space group Pm-3m (No. 221)
Symmetry-distinct sites (fractional):
Pr 0.0000 0.0000 0.5000 [3 per cell]  2 Ni 2.77
Nd 0.5000 0.5000 0.5000 [1 per cell]  12 Pr 3.92
Ni 0.0000 0.0000 0.0000 [1 per cell]  6 Pr 2.77

(5)
## Pr6NdNi3 (PBE-GGA)

Data for an optimized crystal structure of Pr6NdNi3.

Summary:
ΔH_f (0 K)   -0.13 eV/atom

abc: 11.5455 13.4646 7.2789
angles: 90.00 90.00 90.00
With the nearest neighbours (Å) after each atom.
Space group Cmc2_1 (No. 36)
Symmetry-distinct sites (fractional):
Pr 0.0000 0.0340 0.0000 [4 per cell]  4 Ni 3.17-3.23
Pr 0.0000 0.2271 0.3475 [4 per cell]  3 Ni 2.80-2.82
Pr 0.1677 0.4592 0.5147 [8 per cell]  4 Ni 2.77-2.95
Pr 0.2247 0.1923 0.6610 [8 per cell]  2 Ni 2.93-3.16
Nd 0.0000 0.3261 0.8871 [4 per cell]  1 Ni 2.73
Ni 0.0000 0.4226 0.2170 [4 per cell]  1 Nd 2.73, 5 Pr 2.80-2.95
Ni 0.1903 0.0978 0.3025 [8 per cell]  4 Pr 2.77-2.93

(6)
## Pr2NdNi2 (PBE-GGA)

Data for an optimized crystal structure of Pr2NdNi2.

Summary:
ΔH_f (0 K)   -0.22 eV/atom
Relative energy among the computed polymorphs   0.0000 eV/atom

abc: 4.4751 14.3378 3.9211
angles: 90.00 90.00 90.00
With the nearest neighbours (Å) after each atom.
Space group Cmmm (No. 65)
Symmetry-distinct sites (fractional):
Pr 0.0000 0.1494 0.0000 [4 per cell]  6 Ni 2.89-3.07
Nd 0.0000 0.5000 0.5000 [2 per cell]  2 Ni 2.90
Ni 0.0000 0.2976 0.5000 [4 per cell]  2 Ni 2.62, 2 Pr 2.89, 1 Nd 2.90

(7)
## PrNdNi (PBE-GGA)

Data for an optimized crystal structure of PrNdNi.

Summary:
ΔH_f (0 K)   -0.11 eV/atom
Relative energy among the computed polymorphs   0.0873 eV/atom

abc: 3.5358 6.8725 7.1007
angles: 76.82 89.80 75.28
With the nearest neighbours (Å) after each atom.
Space group P-1 (No. 2)
Symmetry-distinct sites (fractional):
Pr 0.1286 0.2505 0.0635 [2 per cell]  4 Ni 3.00-3.20, 1 Pr 3.23
Nd 0.1304 0.2362 0.5724 [2 per cell]  4 Ni 2.93
Ni 0.4920 0.5146 0.7209 [2 per cell]  4 Nd 2.93, 4 Pr 3.00-3.20, 1 Ni 3.19

(8)
## PrNd2Ni (PBE-GGA)

Data for an optimized crystal structure of PrNd2Ni.

Summary:
ΔH_f (0 K)   -0.06 eV/atom
Relative energy among the computed polymorphs   0.1083 eV/atom

abc: 3.9027 3.9027 28.0143
angles: 90.00 90.00 120.00
With the nearest neighbours (Å) after each atom.
Space group R3m (No. 160, hexagonal axes)
Symmetry-distinct sites (fractional):
Pr 0.0000 0.0000 0.0000 [3 per cell]  6 Nd 3.74-3.78, 6 Pr 3.90
Nd 0.0000 0.0000 0.2267 [3 per cell]  3 Ni 2.79
Nd 0.0000 0.0000 0.4417 [3 per cell]  3 Ni 2.80
Ni 0.0000 0.0000 0.8346 [3 per cell]  6 Nd 2.79-2.80